# 1
Density functional theory data (PBE-GGA) for a geometry-optimized Y4Ir3Ru structure.

abc: 3.453 3.453 13.527
angles: 90.00 90.00 90.00
Last column: magnetic moment on the atom in μB.
Atoms (fractional coordinates):
Y1 0.000 0.000 0.877  0.00
Y2 0.000 0.000 0.123  0.00
Y3 0.000 0.000 0.375  0.00
Y4 0.000 0.000 0.625  0.00
Ru1 0.500 0.500 0.000  0.00
Ir1 0.500 0.500 0.250  -0.01
Ir2 0.500 0.500 0.500  0.08
Ir3 0.500 0.500 0.750  -0.01

- DFT formation energy (eV per atom) = -0.655
- energy (Ha/atom) = -0.3076
- total magnetization (μB per atom) = 0.0068


# 2
Density functional theory data (PBE-GGA) for a geometry-optimized MnTlTe2Os structure.

abc: 5.223 4.618 5.223
angles: 90.00 90.00 90.00
Last column: magnetic moment on the atom in μB.
Atoms (fractional coordinates):
Tl1 0.500 0.500 0.500  -0.01
Te1 0.000 0.000 0.500  -0.01
Te2 0.500 0.000 0.000  -0.01
Os1 0.000 0.500 0.000  -1.03
Mn1 0.000 0.000 0.000  2.33

- energy (Ha/atom) = -0.1801
- total magnetization (μB per atom) = 0.2558